Entry 1:
DFT (PBE) results for crystalline TbPm2PrHo at its relaxed geometry.

The value obtained for the final energy is -4.42 eV per atom. The formation energy comes out at 0.2765 eV per atom. The density comes out at 7.22 Mg/m³.

The structure belongs to space group P2/c (No. 13); the cell edges are 8.375, 6.642 and 6.248 Å and the angles 90.00°, 92.89° and 90.00°. The distinct sites, in fractional coordinates, are Tb at (0.000, 0.070, 0.250), Pm at (0.309, 0.191, 0.734), Pr at (0.000, 0.500, 0.000) and Ho at (0.500, 0.339, 0.250).

=====

Entry 2:
DFT (PBE) results for crystalline Rb2Pa3S8 at its relaxed geometry.

The value obtained for the final energy is -6.43 eV per atom. The calculation puts the formation energy (no corrections) at -20.1 eV per formula unit. The density comes out at 4.67 Mg/m³.

The structure belongs to space group P2/m (No. 10); the cell edges are 9.130, 4.181 and 11.330 Å and the angles 90.00°, 112.95° and 90.00°. The distinct sites, in fractional coordinates, are Rb at (0.033, 0.000, 0.271), Pa at (0.423, 0.500, 0.654), Pa at (0.500, 0.000, 0.000), S at (0.229, 0.000, 0.596), S at (0.316, 0.500, 0.869), S at (0.321, 0.500, 0.397) and S at (0.389, 0.000, 0.183).

=====

Entry 3:
DFT (PBE) results for crystalline LiEuGaRu at its relaxed geometry.

The value obtained for the final energy is -6.20 eV per atom. The formation energy comes out at -0.0761 eV per atom. The density comes out at 7.58 Mg/m³.

The structure belongs to space group F-43m (No. 216); the cell edges are 6.612, 6.612 and 6.612 Å and the angles 90.00°, 90.00° and 90.00°. The distinct sites, in fractional coordinates, are Li at (0.000, 0.000, 0.000), Eu at (0.250, 0.250, 0.250), Ga at (0.250, 0.250, 0.750) and Ru at (0.000, 0.000, 0.500).

=====

Entry 4:
DFT (PBE) results for crystalline Zn2WCl at its relaxed geometry.

The value obtained for the final energy is -3.98 eV per atom. The calculation puts the formation energy (no corrections) at 1.4 eV per formula unit. The density comes out at 9.17 Mg/m³.

The structure belongs to space group Pmm2 (No. 25); the cell edges are 2.902, 4.445 and 4.913 Å and the angles 90.00°, 90.00° and 90.00°. The distinct sites, in fractional coordinates, are Zn at (0.000, 0.000, 0.000), Zn at (0.000, 0.500, 0.296), W at (0.500, 0.000, 0.498) and Cl at (0.500, 0.500, 0.762).

=====

Entry 5:
DFT (PBE) results for crystalline RbAg3W at its relaxed geometry.

The value obtained for the final energy is -3.30 eV per atom. The formation energy comes out at 1.1998 eV per atom. The density comes out at 6.71 Mg/m³.

The structure belongs to space group Pm-3m (No. 221); the cell edges are 5.274, 5.274 and 5.274 Å and the angles 90.00°, 90.00° and 90.00°. The distinct sites, in fractional coordinates, are Rb at (0.000, 0.000, 0.000), Ag at (0.000, 0.500, 0.500) and W at (0.500, 0.500, 0.500).

=====

Entry 6:
DFT (PBE) results for crystalline TiNi4Pt at its relaxed geometry.

The value obtained for the final energy is -6.33 eV per atom. The formation energy comes out at -0.1486 eV per atom. The density comes out at 10.16 Mg/m³.

The structure belongs to space group Cmcm (No. 63); the cell edges are 3.717, 16.376 and 5.129 Å and the angles 90.00°, 90.00° and 90.00°. The distinct sites, in fractional coordinates, are Ti at (0.000, 0.231, 0.250), Ni at (0.000, 0.074, 0.250), Ni at (0.000, 0.349, 0.524), Ni at (0.000, 0.500, 0.000) and Pt at (0.000, 0.088, 0.750).

=====

Entry 7:
DFT (PBE) results for crystalline Ba3ErB9O18 at its relaxed geometry.

The value obtained for the final energy is -7.88 eV per atom. The calculation puts the formation energy (no corrections) at -84.6 eV per formula unit. The density comes out at 4.04 Mg/m³.

The structure belongs to space group P6_3/m (No. 176); the cell edges are 7.2713, 7.2713 and 17.3258 Å and the angles 90.00°, 90.00° and 120.00°. The distinct sites, in fractional coordinates, are Ba at (0.0000, 0.0000, 0.2500), Ba at (0.3333, 0.6667, 0.1311), Er at (0.0000, 0.0000, 0.0000), B at (0.1170, 0.6213, 0.7500), B at (0.1660, 0.4489, 0.5815), O at (0.0064, 0.2488, 0.5802), O at (0.0809, 0.4141, 0.2500), O at (0.1228, 0.6182, 0.5818) and O at (0.1675, 0.4577, 0.7500).

=====

Entry 8:
DFT (PBE) results for crystalline La2Dy4Er at its relaxed geometry.

The value obtained for the final energy is -4.06 eV per atom. The formation energy comes out at 0.6331 eV per atom. The density comes out at 6.79 Mg/m³.

The structure belongs to space group I4/mmm (No. 139); the cell edges are 5.544, 5.544 and 17.421 Å and the angles 90.00°, 90.00° and 90.00°. The distinct sites, in fractional coordinates, are La at (0.000, 0.000, 0.126), Dy at (0.000, 0.000, 0.325), Dy at (0.000, 0.500, 0.000) and Er at (0.000, 0.000, 0.500).